# Li2GePd2

A relaxed structure of Li2GePd2 (PBE, Alexandria).

Output
N(E_F): 0.430 states/eV/atom
relative energy among the computed polymorphs: 390 meV per atom
formation energy: -161 meV per atom

Cell: 3.266 3.266 14.025 Å, 90.00 90.00 90.00°
Space group I4/mmm (No. 139)
Inequivalent atoms, fractional coordinates:
Li1 0.000 0.500 0.250 x4
Ge1 0.000 0.000 0.000 x2
Pd1 0.000 0.000 0.399 x4